# Y2LuMn

A geometry-optimized Y2LuMn structure (PBE, Alexandria via LeMat-Bulk).

POSCAR file:
```
Y2LuMn
1.0
3.5403 0.0000 0.0000
0.0000 3.5403 0.0000
0.0000 0.0000 8.5621
Y Lu Mn
2 1 1
direct
0.0000 0.0000 0.2067
0.0000 0.0000 0.7933
0.5000 0.5000 0.5000
0.5000 0.5000 0.0000
```

The calculation puts the energy relative to the elements at 0.14 eV per atom. The calculation puts the raw total energy at -6.513 eV per atom. Its space-group type is P4/mmm, No. 123.

---

# CaTbY2Te4

A geometry-optimized CaTbY2Te4 structure (PBE, Alexandria via LeMat-Bulk).

POSCAR file:
```
CaTbY2Te4
1.0
7.6215 0.0000 0.0000
0.0000 4.3709 0.0000
-2.4923 0.0000 7.2072
Ca Tb Y Te
1 1 2 4
direct
0.0000 0.0000 0.0000
0.0000 0.5000 0.5000
0.5000 0.0000 0.5000
0.5000 0.5000 0.0000
0.2509 0.0000 0.7500
0.2521 0.5000 0.2516
0.7479 0.5000 0.7484
0.7491 0.0000 0.2500
```

The calculation puts the raw total energy at -5.402 eV per atom. The formation energy (no corrections) comes out at -1.39 eV/atom. Its space-group type is P2/m, No. 10.

---

# Mn2TlCu

A geometry-optimized Mn2TlCu structure (PBE, Alexandria via LeMat-Bulk).

POSCAR file:
```
Mn2TlCu
1.0
3.1668 0.0000 0.0000
0.0000 3.1668 0.0000
0.0000 0.0000 6.3616
Mn Tl Cu
2 1 1
direct
0.0000 0.0000 0.0000
0.5000 0.5000 0.1929
0.0000 0.0000 0.4985
0.5000 0.5000 0.7866
```

The calculation puts the energy relative to the elements at 0.31 eV per atom. The calculation puts the raw total energy at -5.888 eV per atom. Its space-group type is P4mm, No. 99.

---

# Pa2In2Tc3

A geometry-optimized Pa2In2Tc3 structure (PBE, Alexandria via LeMat-Bulk).

POSCAR file:
```
Pa2In2Tc3
1.0
6.3988 -2.3621 0.0000
6.3988 2.3621 0.0000
-0.6672 0.0000 4.9926
Pa In Tc
2 2 3
direct
0.1515 0.1515 0.3772
0.8485 0.8485 0.6228
0.4201 0.4201 0.2039
0.5799 0.5799 0.7961
0.0000 0.0000 0.0000
0.2073 0.2073 0.8568
0.7927 0.7927 0.1432
```

The calculation puts the energy relative to the elements at -0.17 eV per atom. The calculation puts the raw total energy at -8.110 eV per atom. The energy above the lowest structure with this stoichiometry comes out at 0.0 meV per atom. Its space-group type is C2/m, No. 12.

---

# AlCu2PbC

A geometry-optimized AlCu2PbC structure (PBE, Alexandria via LeMat-Bulk).

POSCAR file:
```
AlCu2PbC
1.0
4.9991 0.0000 0.0000
0.0000 4.9991 0.0000
0.0000 0.0000 4.4502
Al Cu Pb C
1 2 1 1
direct
0.0000 0.0000 0.0000
0.0000 0.5000 0.5000
0.5000 0.0000 0.5000
0.5000 0.5000 0.5000
0.5000 0.5000 0.0000
```

The calculation puts the energy relative to the elements at 1.77 eV per atom. The calculation puts the raw total energy at -3.198 eV per atom. Its space-group type is P4/mmm, No. 123.

---

# MgCrTc

A geometry-optimized MgCrTc structure (PBE, Alexandria via LeMat-Bulk).

POSCAR file:
```
MgCrTc
1.0
3.6641 -2.1241 0.0000
3.6641 2.1241 0.0000
-0.0704 0.0000 5.5470
Mg Cr Tc
2 2 2
direct
0.1675 0.1675 0.0885
0.8325 0.8325 0.9115
0.1709 0.1709 0.5904
0.8291 0.8291 0.4096
0.4956 0.4956 0.7295
0.5044 0.5044 0.2705
```

The calculation puts the energy relative to the elements at 0.26 eV per atom. The calculation puts the raw total energy at -6.932 eV per atom. The energy above the lowest structure with this stoichiometry comes out at 122.5 meV per atom. Its space-group type is C2/m, No. 12.

---

# K2SrRu

A geometry-optimized K2SrRu structure (PBE, Alexandria via LeMat-Bulk).

POSCAR file:
```
K2SrRu
1.0
-1.7886 3.1337 7.6641
1.7886 -3.1337 7.6641
1.7886 3.1337 -7.6641
K Sr Ru
2 1 1
direct
0.0000 0.0000 0.0000
0.6659 0.1659 0.5000
0.3243 0.3243 0.0000
0.1820 0.6820 0.5000
```

The calculation puts the energy relative to the elements at 0.80 eV per atom. The calculation puts the raw total energy at -2.490 eV per atom. The energy above the lowest structure with this stoichiometry comes out at 158.0 meV per atom. Its space-group type is Imm2, No. 44.

---

# K4In5Bi6

A geometry-optimized K4In5Bi6 structure (PBE, Alexandria via LeMat-Bulk).

POSCAR file:
```
K4In5Bi6
1.0
2.6697 -11.2255 0.0000
2.6697 11.2255 0.0000
0.0000 0.0000 18.8500
K In Bi
8 10 12
direct
0.0088 0.9912 0.5000
0.0267 0.9733 0.7732
0.1691 0.8309 0.3096
0.1784 0.8216 0.9482
0.8216 0.1784 0.4482
0.8309 0.1691 0.8096
0.9733 0.0267 0.2732
0.9912 0.0088 0.0000
0.1398 0.8602 0.6301
0.3009 0.6991 0.6248
0.3526 0.6474 0.2688
0.3579 0.6421 0.9918
0.4317 0.5683 0.6916
0.5683 0.4317 0.1916
0.6421 0.3579 0.4918
0.6474 0.3526 0.7688
0.6991 0.3009 0.1248
0.8602 0.1398 0.1301
0.1203 0.8797 0.1267
0.2149 0.7851 0.4961
0.2207 0.7793 0.7591
0.4271 0.5729 0.4027
0.4335 0.5665 0.1337
0.4419 0.5581 0.8600
0.5581 0.4419 0.3600
0.5665 0.4335 0.6337
0.5729 0.4271 0.9027
0.7793 0.2207 0.2591
0.7851 0.2149 0.9961
0.8797 0.1203 0.6267
```

The calculation puts the energy relative to the elements at -0.21 eV per atom. The calculation puts the raw total energy at -2.964 eV per atom. Its space-group type is Cmc2_1, No. 36.

---

# Sc2CrRe

A geometry-optimized Sc2CrRe structure (PBE, Alexandria via LeMat-Bulk).

POSCAR file:
```
Sc2CrRe
1.0
-3.6651 3.6651 2.7886
3.6651 -3.6651 2.7886
3.6651 3.6651 -2.7886
Sc Cr Re
4 2 2
direct
0.1236 0.1250 0.4986
0.3750 0.8764 0.0014
0.6264 0.6250 0.5014
0.8750 0.3736 0.9986
0.2500 0.7500 0.5000
0.5000 0.5000 0.0000
0.0000 0.0000 0.0000
0.7500 0.2500 0.5000
```

The calculation puts the energy relative to the elements at 0.68 eV per atom. The calculation puts the raw total energy at -8.007 eV per atom. The energy above the lowest structure with this stoichiometry comes out at 693.2 meV per atom. Its space-group type is I-42d, No. 122.

---

# La2YAs

A geometry-optimized La2YAs structure (PBE, Alexandria via LeMat-Bulk).

POSCAR file:
```
La2YAs
1.0
-1.9485 2.6743 5.8843
1.9485 -2.6743 5.8843
1.9485 2.6743 -5.8843
La Y As
2 1 1
direct
0.0000 0.0000 0.0000
0.6932 0.1932 0.5000
0.3001 0.8001 0.5000
0.4855 0.4855 0.0000
```

The calculation puts the energy relative to the elements at -0.59 eV per atom. The calculation puts the raw total energy at -5.835 eV per atom. Its space-group type is Imm2, No. 44.

---

# Al2NiSb2

A geometry-optimized Al2NiSb2 structure (PBE, Alexandria via LeMat-Bulk).

POSCAR file:
```
Al2NiSb2
1.0
6.5770 0.0000 0.0000
0.0000 6.5770 0.0000
0.0000 0.0000 4.6146
Al Ni Sb
4 2 4
direct
0.1444 0.3556 0.0000
0.3556 0.8556 0.0000
0.6444 0.1444 0.0000
0.8556 0.6444 0.0000
0.0000 0.0000 0.0000
0.5000 0.5000 0.0000
0.1812 0.6812 0.5000
0.3188 0.1812 0.5000
0.6812 0.8188 0.5000
0.8188 0.3188 0.5000
```

The calculation puts the raw total energy at -4.114 eV per atom. The formation energy (no corrections) comes out at 0.19 eV/atom. The energy above the lowest structure with this stoichiometry comes out at 0.0 meV per atom. Its space-group type is P4/mbm, No. 127.

---

# Nb2Tl5Br12

A geometry-optimized Nb2Tl5Br12 structure (PBE, Alexandria via LeMat-Bulk).

POSCAR file:
```
Nb2Tl5Br12
1.0
9.0859 -3.7328 0.0000
9.0859 3.7328 0.0000
-3.0286 0.0000 10.8945
Nb Tl Br
2 5 12
direct
0.2063 0.7937 0.0000
0.7937 0.2063 0.0000
0.0000 0.0000 0.5000
0.3034 0.3034 0.6293
0.3201 0.3201 0.2062
0.6799 0.6799 0.7938
0.6966 0.6966 0.3707
0.0009 0.0009 0.1849
0.0952 0.6172 0.9397
0.0962 0.5986 0.4256
0.3828 0.9048 0.0603
0.4014 0.9038 0.5744
0.4991 0.4991 0.8447
0.5009 0.5009 0.1553
0.5986 0.0962 0.4256
0.6172 0.0952 0.9397
0.9038 0.4014 0.5744
0.9048 0.3828 0.0603
0.9991 0.9991 0.8151
```

The calculation puts the raw total energy at -3.567 eV per atom. The formation energy (no corrections) comes out at -0.83 eV/atom. Its space-group type is C2/m, No. 12.

---

# ZrCoSiB2

A geometry-optimized ZrCoSiB2 structure (PBE, Alexandria via LeMat-Bulk).

POSCAR file:
```
ZrCoSiB2
1.0
3.7726 0.0000 0.0000
0.0000 3.7726 0.0000
0.0000 0.0000 4.5482
Zr Co Si B
1 1 1 2
direct
0.0000 0.0000 0.0000
0.5000 0.5000 0.5000
0.5000 0.5000 0.0000
0.0000 0.5000 0.5000
0.5000 0.0000 0.5000
```

The calculation puts the raw total energy at -6.554 eV per atom. The formation energy (no corrections) comes out at 0.33 eV/atom. Its space-group type is P4/mmm, No. 123.

---

# ZrOsC3

A geometry-optimized ZrOsC3 structure (PBE, Alexandria via LeMat-Bulk).

POSCAR file:
```
ZrOsC3
1.0
3.9495 0.0000 0.0000
0.0000 3.9495 0.0000
0.0000 0.0000 3.9495
Zr Os C
1 1 3
direct
0.0000 0.0000 0.0000
0.5000 0.5000 0.5000
0.0000 0.5000 0.5000
0.5000 0.0000 0.5000
0.5000 0.5000 0.0000
```

The calculation puts the energy relative to the elements at 1.31 eV per atom. The calculation puts the raw total energy at -8.185 eV per atom. The energy above the lowest structure with this stoichiometry comes out at 0.0 meV per atom. Its space-group type is Pm-3m, No. 221.

---

# Nd2ScTe2O2

A geometry-optimized Nd2ScTe2O2 structure (PBE, Alexandria via LeMat-Bulk).

POSCAR file:
```
Nd2ScTe2O2
1.0
-2.1087 2.1087 8.3862
2.1087 -2.1087 8.3862
2.1087 2.1087 -8.3862
Nd Sc Te O
2 1 2 2
direct
0.1049 0.1049 0.0000
0.8951 0.8951 0.0000
0.5000 0.5000 0.0000
0.3202 0.3202 0.0000
0.6798 0.6798 0.0000
0.0000 0.5000 0.5000
0.5000 0.0000 0.5000
```

The calculation puts the raw total energy at -6.845 eV per atom. The formation energy (no corrections) comes out at -2.26 eV/atom. Its space-group type is I4/mmm, No. 139.

---

# TiBi2Pd

A geometry-optimized TiBi2Pd structure (PBE, Alexandria via LeMat-Bulk).

POSCAR file:
```
TiBi2Pd
1.0
-2.3259 2.3259 9.2640
2.3259 -2.3259 9.2640
2.3259 2.3259 -9.2640
Ti Bi Pd
2 4 2
direct
0.0000 0.0000 0.0000
0.7500 0.2500 0.5000
0.1275 0.6250 0.0025
0.3750 0.3775 0.5025
0.6225 0.1250 0.9975
0.8750 0.8725 0.4975
0.2500 0.7500 0.5000
0.5000 0.5000 0.0000
```

The calculation puts the energy relative to the elements at 0.13 eV per atom. The calculation puts the raw total energy at -5.079 eV per atom. Its space-group type is I-42d, No. 122.

---

# La8Co3Br4N

A geometry-optimized La8Co3Br4N structure (PBE, Alexandria via LeMat-Bulk).

POSCAR file:
```
La8Co3Br4N
1.0
7.2291 -3.8755 0.0000
7.2291 3.8755 0.0000
-4.6621 0.0000 7.8233
La Co Br N
8 3 4 1
direct
0.2285 0.7516 0.6850
0.2366 0.2366 0.6892
0.2484 0.7715 0.3150
0.2599 0.2599 0.3062
0.7401 0.7401 0.6938
0.7516 0.2285 0.6850
0.7634 0.7634 0.3108
0.7715 0.2484 0.3150
0.0000 0.5000 0.5000
0.5000 0.0000 0.5000
0.5000 0.5000 0.5000
0.0000 0.0000 0.0000
0.0000 0.5000 0.0000
0.5000 0.0000 0.0000
0.5000 0.5000 0.0000
0.0000 0.0000 0.5000
```

The calculation puts the raw total energy at -5.692 eV per atom. The formation energy (no corrections) comes out at -0.96 eV/atom. Its space-group type is C2/m, No. 12.

---

# Li3HgAs

A geometry-optimized Li3HgAs structure (PBE, Alexandria via LeMat-Bulk).

POSCAR file:
```
Li3HgAs
1.0
4.8958 0.0000 0.0000
0.0000 4.8958 0.0000
0.0000 0.0000 4.8958
Li Hg As
3 1 1
direct
0.0000 0.0000 0.5000
0.0000 0.5000 0.0000
0.5000 0.0000 0.0000
0.5000 0.5000 0.5000
0.0000 0.0000 0.0000
```

The calculation puts the energy relative to the elements at -0.45 eV per atom. The calculation puts the raw total energy at -2.593 eV per atom. The energy above the lowest structure with this stoichiometry comes out at 24.3 meV per atom. Its space-group type is Pm-3m, No. 221.

---

# AcDyC

A geometry-optimized AcDyC structure (PBE, Alexandria via LeMat-Bulk).

POSCAR file:
```
AcDyC
1.0
5.5412 0.0000 0.0000
0.0000 7.3398 0.0000
0.0000 0.0000 3.6698
Ac Dy C
2 2 2
direct
0.0000 0.0000 0.0000
0.0000 0.5000 0.0028
0.5000 0.2500 0.5020
0.5000 0.7500 0.5020
0.5000 0.0000 0.0034
0.5000 0.5000 0.0026
```

The calculation puts the energy relative to the elements at 0.07 eV per atom. The calculation puts the raw total energy at -5.903 eV per atom. The energy above the lowest structure with this stoichiometry comes out at 118.3 meV per atom. Its space-group type is Pmm2, No. 25.

---

# Hf2TcAgH

A geometry-optimized Hf2TcAgH structure (PBE, Alexandria via LeMat-Bulk).

POSCAR file:
```
Hf2TcAgH
1.0
4.5461 0.0000 0.0000
0.0000 4.5461 0.0000
0.0000 0.0000 3.6897
Hf Tc Ag H
2 1 1 1
direct
0.0000 0.5000 0.0000
0.5000 0.0000 0.0000
0.0000 0.0000 0.5000
0.5000 0.5000 0.5000
0.0000 0.0000 0.0000
```

The calculation puts the raw total energy at -7.486 eV per atom. The energy above the lowest structure with this stoichiometry comes out at 0.0 meV per atom. Its space-group type is P4/mmm, No. 123.

---

# MgMn2Ga

A geometry-optimized MgMn2Ga structure (PBE, Alexandria via LeMat-Bulk).

POSCAR file:
```
MgMn2Ga
1.0
3.9751 0.0000 0.0000
0.0000 3.9751 0.0000
0.0000 0.0000 3.7136
Mg Mn Ga
1 2 1
direct
0.0000 0.0000 0.0000
0.0000 0.5000 0.5000
0.5000 0.0000 0.5000
0.5000 0.5000 0.0000
```

The calculation puts the energy relative to the elements at 0.04 eV per atom. The calculation puts the raw total energy at -5.696 eV per atom. The energy above the lowest structure with this stoichiometry comes out at 0.0 meV per atom. Its space-group type is P4/mmm, No. 123.

---

# BHRu2

A geometry-optimized BHRu2 structure (PBE, Alexandria via LeMat-Bulk).

POSCAR file:
```
BHRu2
1.0
0.0000 2.6642 2.6642
2.6642 0.0000 2.6642
2.6642 2.6642 0.0000
B H Ru
1 1 2
direct
0.0000 0.0000 0.0000
0.5000 0.5000 0.5000
0.2500 0.2500 0.2500
0.7500 0.7500 0.7500
```

The calculation puts the raw total energy at -6.774 eV per atom. The energy above the lowest structure with this stoichiometry comes out at 298.8 meV per atom. Its space-group type is Fm-3m, No. 225.

---

# Cu2SbPtW

A geometry-optimized Cu2SbPtW structure (PBE, Alexandria via LeMat-Bulk).

POSCAR file:
```
Cu2SbPtW
1.0
4.6653 0.0000 0.0000
0.0000 4.6653 0.0000
0.0000 0.0000 4.9801
Cu Sb Pt W
2 1 1 1
direct
0.0000 0.5000 0.0000
0.5000 0.0000 0.0000
0.0000 0.0000 0.5000
0.0000 0.0000 0.0000
0.5000 0.5000 0.5000
```

The calculation puts the raw total energy at -4.929 eV per atom. The formation energy (no corrections) comes out at 1.33 eV/atom. Its space-group type is P4/mmm, No. 123.

---

# BaSr6Tl

A geometry-optimized BaSr6Tl structure (PBE, Alexandria via LeMat-Bulk).

POSCAR file:
```
BaSr6Tl
1.0
5.6334 0.0000 0.0000
0.0000 5.6334 0.0000
0.0000 0.0000 14.1355
Ba Sr Tl
1 6 1
direct
0.0000 0.0000 0.0000
0.0000 0.5000 0.3621
0.0000 0.5000 0.6379
0.5000 0.0000 0.3621
0.5000 0.0000 0.6379
0.5000 0.5000 0.1405
0.5000 0.5000 0.8595
0.0000 0.0000 0.5000
```

The calculation puts the energy relative to the elements at 0.06 eV per atom. The calculation puts the raw total energy at -1.742 eV per atom. The energy above the lowest structure with this stoichiometry comes out at 135.3 meV per atom. Its space-group type is P4/mmm, No. 123.